Here is a relaxed structure of Ta2Ir from the Alexandria database. Energies are from PBEsol.

Output
Electronic total energy   -12.012 eV per atom
Total magnetic moment   0.00 μB/cell
E_form   -0.370 eV/atom

Cell lengths 3.5942, 4.2567, 6.6784 Å; angles 90.00, 105.61, 90.00 degrees
Closest atoms and distances in Å follow each position.
Element x y z (fractional)
Ir 0.9215 0.7500 0.8430  8 Ta 2.70-2.82, 2 Ir 2.93
Ir 0.0785 0.2500 0.1570  8 Ta 2.70-2.82, 2 Ir 2.93
Ta 0.5785 0.7500 0.1570  6 Ir 2.70-2.79, 4 Ta 2.87-2.93
Ta 0.4215 0.2500 0.8430  6 Ir 2.70-2.79, 4 Ta 2.87-2.93
Ta 0.2521 0.7500 0.5043  8 Ta 2.79-3.05, 4 Ir 2.82-3.09
Ta 0.7479 0.2500 0.4957  8 Ta 2.79-3.05, 4 Ir 2.82-3.09